Below is BaCrIn3 after structural relaxation, with properties calculated at the PBE-GGA level.

Cell lengths 6.3263, 6.3263, 6.3263 Å; angles 90.00, 90.00, 90.00 degrees
With the nearest neighbours (Å) after each atom.
Fractional positions:
Cr (0.5000, 0.5000, 0.5000)  12 In 4.47
Ba (0.0000, 0.0000, 0.0000)  6 In 3.16
In (0.0000, 0.5000, 0.0000)  2 Ba 3.16
In (0.0000, 0.0000, 0.5000)  2 Ba 3.16
In (0.5000, 0.0000, 0.0000)  2 Ba 3.16

Computed properties:
Formation energy from the elements (eV/f.u.): 6.5
Space group: Pm-3m, No. 221

---

Below is Ti2SbTe after structural relaxation, with properties calculated at the PBE-GGA level.

Cell lengths 4.0124, 4.0124, 6.8658 Å; angles 73.01, 73.01, 60.00 degrees
With the nearest neighbours (Å) after each atom.
Fractional positions:
Sb (0.0000, 0.0000, 0.0000)  6 Ti 2.72
Te (0.5000, 0.5000, 0.5000)  6 Ti 2.94
Ti (0.2596, 0.2596, 0.2212)  3 Sb 2.72, 3 Te 2.94
Ti (0.7404, 0.7404, 0.7788)  3 Sb 2.72, 3 Te 2.94

Computed properties:
Energy above the most stable polymorph in this dataset (eV/atom): 0.2317
Space group: R-3m, No. 166
Formation energy from raw total energies (meV per atom): -330

---

Below is Fe5Ni6 after structural relaxation, with properties calculated at the PBE-GGA level.

Cell lengths 4.0861, 5.1609, 6.5325 Å; angles 90.00, 71.78, 90.00 degrees
With the nearest neighbours (Å) after each atom.
Fractional positions:
Fe (0.0000, 0.5000, 0.0000)  8 Ni 2.27-2.45
Fe (0.3217, 0.0000, 0.3565)  8 Ni 2.41-2.53, 2 Fe 2.58
Fe (0.6783, 0.0000, 0.6435)  8 Ni 2.41-2.53, 2 Fe 2.58
Fe (0.6807, 0.5000, 0.6385)  8 Ni 2.50-2.62, 4 Fe 2.58-2.67
Fe (0.3193, 0.5000, 0.3615)  8 Ni 2.50-2.62, 4 Fe 2.58-2.67
Ni (0.5000, 0.2386, 0.0000)  6 Fe 2.45-2.62, 6 Ni 2.46-2.73
Ni (0.5000, 0.7614, 0.0000)  6 Fe 2.45-2.62, 6 Ni 2.46-2.73
Ni (0.1458, 0.2349, 0.7083)  6 Fe 2.27-2.50, 1 Ni 2.42
Ni (0.1458, 0.7651, 0.7083)  6 Fe 2.27-2.50, 1 Ni 2.42
Ni (0.8542, 0.7651, 0.2917)  6 Fe 2.27-2.50, 1 Ni 2.42
Ni (0.8542, 0.2349, 0.2917)  6 Fe 2.27-2.50, 1 Ni 2.42

Computed properties:
Formation energy from the elements (eV/f.u.): 1.2
Space group: Cmmm, No. 65

---

Below is NdZnGa2Pd after structural relaxation, with properties calculated at the PBE-GGA level.

Cell lengths 4.2905, 4.2905, 6.0621 Å; angles 110.73, 110.73, 90.00 degrees
With the nearest neighbours (Å) after each atom.
Fractional positions:
Nd (0.0000, 0.0000, 0.0000)  8 Ga 3.28, 4 Pd 3.39, 4 Zn 3.39
Zn (0.2500, 0.7500, 0.5000)  4 Ga 2.55
Ga (0.6186, 0.6186, 0.2372)  1 Ga 2.49, 2 Pd 2.55, 2 Zn 2.55
Ga (0.3814, 0.3814, 0.7628)  1 Ga 2.49, 2 Zn 2.55, 2 Pd 2.55
Pd (0.7500, 0.2500, 0.5000)  4 Ga 2.55

Computed properties:
Formation energy from the elements (eV/f.u.): -3.2
Space group: I-4m2, No. 119

---

Below is CdSiMoBr after structural relaxation, with properties calculated at the PBE-GGA level.

Cell lengths 3.0680, 3.5063, 8.7716 Å; angles 90.00, 99.83, 90.00 degrees
With the nearest neighbours (Å) after each atom.
Fractional positions:
Cd (0.3457, 0.0000, 0.6279)  2 Si 2.83, 2 Cd 3.07
Si (0.7118, 0.0000, 0.3532)  4 Mo 2.52
Mo (0.1571, 0.5000, 0.2410)  4 Si 2.52, 2 Br 2.55
Br (0.5422, 0.5000, 0.0056)  2 Mo 2.55

Computed properties:
Energy above the most stable polymorph in this dataset (eV/atom): 0.0286
Space group: Pm, No. 6
Formation energy from raw total energies (meV per atom): 92

---

Below is RbCaCo2 after structural relaxation, with properties calculated at the PBE-GGA level.

Cell lengths 5.2242, 5.2242, 5.2242 Å; angles 60.00, 60.00, 60.00 degrees
With the nearest neighbours (Å) after each atom.
Fractional positions:
Ca (0.0000, 0.0000, 0.0000)  8 Co 3.20
Co (0.2500, 0.2500, 0.2500)  4 Rb 3.20, 4 Ca 3.20
Co (0.7500, 0.7500, 0.7500)  4 Ca 3.20, 4 Rb 3.20
Rb (0.5000, 0.5000, 0.5000)  8 Co 3.20

Computed properties:
Formation energy from the elements (eV/f.u.): 4.8
Energy above the most stable polymorph in this dataset (eV/atom): 0.1839
Space group: Fm-3m, No. 225

---

Below is BeZnPb2 after structural relaxation, with properties calculated at the PBE-GGA level.

Cell lengths 5.1508, 5.1508, 3.4395 Å; angles 90.00, 90.00, 98.32 degrees
With the nearest neighbours (Å) after each atom.
Fractional positions:
Pb (0.0000, 0.0000, 0.0000)  4 Be 3.10, 4 Zn 3.10, 4 Pb 3.37-3.44
Pb (0.5000, 0.5000, 0.0000)  4 Zn 3.10, 4 Be 3.10, 4 Pb 3.37-3.44
Be (0.0000, 0.5000, 0.5000)  8 Pb 3.10, 2 Zn 3.37, 2 Be 3.44
Zn (0.5000, 0.0000, 0.5000)  8 Pb 3.10, 2 Be 3.37, 2 Zn 3.44

Computed properties:
Formation energy from the elements (eV/f.u.): 2.1
Energy above the most stable polymorph in this dataset (eV/atom): 0.2928
Space group: Cmmm, No. 65

---

Below is ZnTe2AsI after structural relaxation, with properties calculated at the PBE-GGA level.

Cell lengths 5.5499, 5.5499, 5.5763 Å; angles 90.00, 90.00, 90.00 degrees
With the nearest neighbours (Å) after each atom.
Fractional positions:
I (0.0000, 0.0000, 0.5000)  2 As 2.79
As (0.0000, 0.0000, 0.0000)  4 Te 2.77, 2 I 2.79
Te (0.0000, 0.5000, 0.0000)  2 As 2.77
Te (0.5000, 0.0000, 0.0000)  2 As 2.77
Zn (0.5000, 0.5000, 0.5000)  4 I 3.92, 8 Te 3.93

Computed properties:
Energy above the most stable polymorph in this dataset (eV/atom): 0.0000
Space group: P4/mmm, No. 123
Formation energy from raw total energies (meV per atom): 471

---

Below is EuDy2Ga after structural relaxation, with properties calculated at the PBE-GGA level.

Cell lengths 4.6706, 4.8439, 4.8439 Å; angles 90.00, 90.00, 90.00 degrees
With the nearest neighbours (Å) after each atom.
Fractional positions:
Eu (0.5000, 0.0000, 0.0000)  8 Dy 3.36, 4 Ga 3.43
Ga (0.5000, 0.5000, 0.5000)  8 Dy 3.36, 4 Eu 3.43
Dy (0.0000, 0.0000, 0.5000)  4 Ga 3.36, 4 Eu 3.36, 4 Dy 3.43
Dy (0.0000, 0.5000, 0.0000)  4 Ga 3.36, 4 Eu 3.36, 4 Dy 3.43

Computed properties:
Formation energy from the elements (eV/f.u.): -0.7
Energy above the most stable polymorph in this dataset (eV/atom): 0.0693
Space group: P4/mmm, No. 123

---

Below is Pr5Mg4Cd after structural relaxation, with properties calculated at the PBE-GGA level.

Cell lengths 3.9064, 3.9064, 19.5429 Å; angles 90.00, 90.00, 90.00 degrees
With the nearest neighbours (Å) after each atom.
Fractional positions:
Pr (0.5000, 0.5000, 0.0989)  4 Cd 3.37, 4 Mg 3.39
Pr (0.5000, 0.5000, 0.2989)  8 Mg 3.38-3.40
Pr (0.5000, 0.5000, 0.5000)  8 Mg 3.38
Pr (0.5000, 0.5000, 0.7011)  8 Mg 3.38-3.40
Pr (0.5000, 0.5000, 0.9011)  4 Cd 3.37, 4 Mg 3.39
Mg (0.0000, 0.0000, 0.1995)  8 Pr 3.38-3.39
Mg (0.0000, 0.0000, 0.4001)  8 Pr 3.38-3.40
Mg (0.0000, 0.0000, 0.5999)  8 Pr 3.38-3.40
Mg (0.0000, 0.0000, 0.8005)  8 Pr 3.38-3.39
Cd (0.0000, 0.0000, 0.0000)  8 Pr 3.37

Computed properties:
Formation energy from the elements (eV/f.u.): -1.6
Space group: P4/mmm, No. 123

---

Below is Sr2FeTeSe after structural relaxation, with properties calculated at the PBE-GGA level.

Cell lengths 5.9693, 5.9693, 4.4352 Å; angles 90.00, 90.00, 90.00 degrees
With the nearest neighbours (Å) after each atom.
Fractional positions:
Sr (0.0000, 0.5000, 0.0000)  2 Se 2.98
Sr (0.5000, 0.0000, 0.0000)  2 Se 2.98
Te (0.5000, 0.5000, 0.5000)  8 Sr 3.72
Fe (0.0000, 0.0000, 0.5000)  2 Se 2.22
Se (0.0000, 0.0000, 0.0000)  2 Fe 2.22

Computed properties:
Space group: P4/mmm, No. 123
Formation energy from raw total energies (meV per atom): -783

---

Below is CrNiOs2 after structural relaxation, with properties calculated at the PBE-GGA level.

Cell lengths 5.3022, 5.3022, 5.3022 Å; angles 149.79, 132.40, 57.42 degrees
With the nearest neighbours (Å) after each atom.
Fractional positions:
Cr (0.7500, 0.2500, 0.5000)  4 Os 2.44, 4 Ni 2.55
Ni (0.2500, 0.7500, 0.5000)  4 Cr 2.55, 2 Ni 2.76
Os (0.9661, 0.9661, 0.0000)  2 Cr 2.44, 4 Os 2.62
Os (0.5339, 0.5339, 0.0000)  2 Cr 2.44, 4 Os 2.62

Computed properties:
Formation energy from the elements (eV/f.u.): 1.3
Energy above the most stable polymorph in this dataset (eV/atom): 0.2490
Space group: Immm, No. 71

---

Copy entry 6 word for word.
Below is RbCaCo2 after structural relaxation, with properties calculated at the PBE-GGA level.

Cell lengths 5.2242, 5.2242, 5.2242 Å; angles 60.00, 60.00, 60.00 degrees
With the nearest neighbours (Å) after each atom.
Fractional positions:
Ca (0.0000, 0.0000, 0.0000)  8 Co 3.20
Co (0.2500, 0.2500, 0.2500)  4 Rb 3.20, 4 Ca 3.20
Co (0.7500, 0.7500, 0.7500)  4 Ca 3.20, 4 Rb 3.20
Rb (0.5000, 0.5000, 0.5000)  8 Co 3.20

Computed properties:
Formation energy from the elements (eV/f.u.): 4.8
Energy above the most stable polymorph in this dataset (eV/atom): 0.1839
Space group: Fm-3m, No. 225